No. 1
Computed, not measured: crystalline CaTm2O4 at its relaxed geometry at the GGA-PBEsol level of DFT.

a = 5.616 Å, b = 5.616 Å, c = 10.697 Å
α = 90.00°, β = 90.00°, γ = 146.53°
Positions (direct):
1 Ca 0.112 0.888 0.750
2 Ca 0.888 0.112 0.250
3 Tm 0.368 0.632 0.574
4 Tm 0.368 0.632 0.926
5 Tm 0.632 0.368 0.074
6 Tm 0.632 0.368 0.426
7 O 0.000 0.000 0.000
8 O 0.000 0.000 0.500
9 O 0.266 0.734 0.113
10 O 0.266 0.734 0.387
11 O 0.464 0.536 0.750
12 O 0.536 0.464 0.250
13 O 0.734 0.266 0.613
14 O 0.734 0.266 0.887

Values from the calculation:
M_tot: 0.00 Bohr magnetons per cell
Energy relative to the lowest polymorph listed for this composition: 17 meV/atom

***

No. 2
Computed, not measured: crystalline CaTm2O4 at its relaxed geometry at the GGA-PBEsol level of DFT.

a = 9.601 Å, b = 3.297 Å, c = 11.511 Å
α = 90.00°, β = 90.00°, γ = 90.00°
Positions (direct):
1 Ca 0.248 0.250 0.149
2 Ca 0.252 0.750 0.649
3 Ca 0.748 0.250 0.351
4 Ca 0.752 0.750 0.851
5 Tm 0.073 0.250 0.888
6 Tm 0.084 0.250 0.389
7 Tm 0.416 0.750 0.889
8 Tm 0.427 0.750 0.388
9 Tm 0.573 0.250 0.612
10 Tm 0.584 0.250 0.111
11 Tm 0.916 0.750 0.611
12 Tm 0.927 0.750 0.112
13 O 0.002 0.750 0.786
14 O 0.074 0.250 0.582
15 O 0.135 0.750 0.018
16 O 0.216 0.750 0.316
17 O 0.284 0.250 0.816
18 O 0.365 0.250 0.518
19 O 0.426 0.750 0.082
20 O 0.498 0.250 0.286
21 O 0.502 0.750 0.714
22 O 0.574 0.250 0.918
23 O 0.635 0.750 0.482
24 O 0.716 0.750 0.184
25 O 0.784 0.250 0.684
26 O 0.865 0.250 0.982
27 O 0.926 0.750 0.418
28 O 0.998 0.250 0.214

Values from the calculation:
M_tot: 0.00 Bohr magnetons per cell
Energy relative to the lowest polymorph listed for this composition: 0 meV/atom

***

No. 3
Computed, not measured: crystalline Ca3UO6 at its relaxed geometry at the GGA-PBEsol level of DFT.

a = 6.700 Å, b = 6.700 Å, c = 6.700 Å
α = 91.24°, β = 91.24°, γ = 91.24°
Positions (direct):
1 Ca 0.056 0.750 0.560
2 Ca 0.250 0.440 0.944
3 Ca 0.440 0.944 0.250
4 Ca 0.560 0.056 0.750
5 Ca 0.750 0.560 0.056
6 Ca 0.944 0.250 0.440
7 U 0.000 0.000 0.000
8 U 0.500 0.500 0.500
9 O 0.041 0.705 0.912
10 O 0.088 0.959 0.295
11 O 0.206 0.436 0.576
12 O 0.295 0.088 0.959
13 O 0.424 0.794 0.564
14 O 0.436 0.576 0.206
15 O 0.564 0.424 0.794
16 O 0.576 0.206 0.436
17 O 0.705 0.912 0.041
18 O 0.794 0.564 0.424
19 O 0.912 0.041 0.705
20 O 0.959 0.295 0.088

Values from the calculation:
M_tot: 0.00 Bohr magnetons per cell

***

No. 4
Computed, not measured: crystalline Ca2V2O7 at its relaxed geometry at the GGA-PBEsol level of DFT.

a = 6.641 Å, b = 6.922 Å, c = 7.004 Å
α = 85.78°, β = 63.79°, γ = 82.59°
Positions (direct):
1 Ca 0.237 0.448 0.237
2 Ca 0.242 0.840 0.830
3 Ca 0.758 0.160 0.170
4 Ca 0.763 0.552 0.763
5 V 0.225 0.949 0.345
6 V 0.303 0.333 0.733
7 V 0.697 0.667 0.267
8 V 0.775 0.051 0.655
9 O 0.037 0.903 0.631
10 O 0.141 0.178 0.921
11 O 0.154 0.447 0.603
12 O 0.256 0.785 0.169
13 O 0.364 0.506 0.862
14 O 0.392 0.130 0.237
15 O 0.450 0.800 0.439
16 O 0.550 0.200 0.561
17 O 0.608 0.870 0.763
18 O 0.636 0.494 0.138
19 O 0.744 0.215 0.831
20 O 0.846 0.553 0.397
21 O 0.859 0.822 0.079
22 O 0.963 0.097 0.369

Values from the calculation:
M_tot: 0.00 Bohr magnetons per cell

***

No. 5
Computed, not measured: crystalline Ca10V6O25 at its relaxed geometry at the GGA-PBEsol level of DFT.

a = 9.913 Å, b = 9.913 Å, c = 6.830 Å
α = 90.00°, β = 90.00°, γ = 120.00°
Positions (direct):
1 Ca 0.000 0.000 0.000
2 Ca 0.000 0.000 0.490
3 Ca 0.333 0.667 0.495
4 Ca 0.333 0.667 0.994
5 Ca 0.383 0.061 0.745
6 Ca 0.460 0.358 0.245
7 Ca 0.642 0.101 0.245
8 Ca 0.678 0.617 0.745
9 Ca 0.899 0.540 0.245
10 Ca 0.939 0.322 0.745
11 V 0.026 0.722 0.745
12 V 0.086 0.367 0.245
13 V 0.278 0.304 0.745
14 V 0.280 0.914 0.245
15 V 0.633 0.720 0.245
16 V 0.696 0.974 0.745
17 O 0.021 0.422 0.046
18 O 0.021 0.422 0.444
19 O 0.024 0.173 0.245
20 O 0.075 0.195 0.745
21 O 0.120 0.925 0.745
22 O 0.149 0.976 0.245
23 O 0.159 0.660 0.745
24 O 0.190 0.714 0.244
25 O 0.286 0.476 0.244
26 O 0.340 0.499 0.745
27 O 0.344 0.246 0.550
28 O 0.344 0.246 0.939
29 O 0.401 0.979 0.046
30 O 0.401 0.979 0.444
31 O 0.501 0.841 0.745
32 O 0.524 0.810 0.244
33 O 0.578 0.599 0.046
34 O 0.578 0.599 0.444
35 O 0.667 0.333 0.245
36 O 0.754 0.098 0.550
37 O 0.754 0.098 0.939
38 O 0.805 0.880 0.745
39 O 0.827 0.851 0.245
40 O 0.902 0.656 0.550
41 O 0.902 0.656 0.939

Values from the calculation:
M_tot: 0.07 Bohr magnetons per cell
Energy relative to the lowest polymorph listed for this composition: 0 meV/atom

***

No. 6
Computed, not measured: crystalline CaV4O8 at its relaxed geometry at the GGA-PBEsol level of DFT.

a = 6.687 Å, b = 6.687 Å, c = 9.635 Å
α = 130.89°, β = 130.89°, γ = 25.15°
Positions (direct):
1 Ca 0.000 0.000 0.000
2 V 0.165 0.165 0.551
3 V 0.348 0.348 0.246
4 V 0.706 0.706 0.911
5 V 0.884 0.884 0.599
6 O 0.074 0.074 0.805
7 O 0.349 0.349 0.033
8 O 0.374 0.374 0.465
9 O 0.378 0.378 0.744
10 O 0.682 0.682 0.698
11 O 0.687 0.687 0.440
12 O 0.700 0.700 0.117
13 O 0.977 0.977 0.358

Values from the calculation:
M_tot: 6.01 Bohr magnetons per cell
Energy relative to the lowest polymorph listed for this composition: 26 meV/atom

***

No. 7
Computed, not measured: crystalline CaV4O10 at its relaxed geometry at the GGA-PBEsol level of DFT.

a = 11.211 Å, b = 5.784 Å, c = 5.784 Å
α = 36.69°, β = 90.00°, γ = 90.00°
Positions (direct):
1 Ca 0.000 0.000 0.000
2 V 0.154 0.305 0.305
3 V 0.351 0.895 0.895
4 V 0.649 0.895 0.895
5 V 0.846 0.305 0.305
6 O 0.000 0.384 0.384
7 O 0.131 0.158 0.158
8 O 0.171 0.858 0.858
9 O 0.317 0.347 0.347
10 O 0.360 0.038 0.038
11 O 0.500 0.842 0.842
12 O 0.640 0.038 0.038
13 O 0.683 0.347 0.347
14 O 0.829 0.858 0.858
15 O 0.869 0.158 0.158

Values from the calculation:
M_tot: 2.01 Bohr magnetons per cell
Energy relative to the lowest polymorph listed for this composition: 51 meV/atom

***

No. 8
Computed, not measured: crystalline Ca2V3O8 at its relaxed geometry at the GGA-PBEsol level of DFT.

a = 6.304 Å, b = 6.304 Å, c = 4.926 Å
α = 108.07°, β = 108.07°, γ = 55.78°
Positions (direct):
1 Ca 0.231 0.231 0.168
2 Ca 0.769 0.769 0.832
3 V 0.226 0.774 0.500
4 V 0.500 0.500 0.000
5 V 0.774 0.226 0.500
6 O 0.108 0.108 0.456
7 O 0.175 0.620 0.107
8 O 0.380 0.825 0.893
9 O 0.404 0.404 0.596
10 O 0.596 0.596 0.404
11 O 0.620 0.175 0.107
12 O 0.825 0.380 0.893
13 O 0.892 0.892 0.544

Values from the calculation:
M_tot: 3.02 Bohr magnetons per cell
Energy relative to the lowest polymorph listed for this composition: 0 meV/atom

***

no.,formation energy from raw total energies (eV per atom)
1,-3.47
2,-3.48
3,-3.21
4,-2.79
5,-2.87
6,-2.44
7,-2.42
8,-2.67